1.
KMn3Si: relaxed, GGA-PBE.

Results
The calculation puts the excess energy over the best structure of this formula in the dataset at 0.00 kcal/mol of atoms. As for the calculated total energy: -6.05 eV/atom.

Cell lengths 4.8360, 4.8360, 4.8360 Å; angles 90.00, 90.00, 90.00 degrees
Last column: nearest neighbours and their distance in Å.
Element x y z (fractional)
K: 0.0000 0.0000 0.0000  12 Mn 3.42
Mn: 0.0000 0.5000 0.5000  2 Si 2.42
Mn: 0.5000 0.0000 0.5000  2 Si 2.42
Mn: 0.5000 0.5000 0.0000  2 Si 2.42
Si: 0.5000 0.5000 0.5000  6 Mn 2.42

***

2.
KMn2Si: relaxed, GGA-PBE.

Results
The calculation puts the excess energy over the best structure of this formula in the dataset at 15.11 kcal/mol of atoms. As for the calculated total energy: -5.27 eV/atom.

Cell lengths 5.7967, 5.7967, 2.7911 Å; angles 103.15, 103.15, 114.65 degrees
Last column: nearest neighbours and their distance in Å.
Element x y z (fractional)
K: 0.0000 0.0000 0.0000  2 K 2.79, 4 Mn 2.92
Mn: 0.0000 0.5000 0.5000  2 Mn 2.79, 2 K 2.92, 2 Si 2.92
Mn: 0.5000 0.0000 0.5000  2 Mn 2.79, 2 K 2.92, 2 Si 2.92
Si: 0.5000 0.5000 0.0000  2 Si 2.79, 4 Mn 2.92

***

DOS(E_F) / states/eV/f.u.: 7.57, 3.29
Formation energy (no corrections) / kJ/mol of atoms: 73.0, 91.5